1.
DFT (GGA-PBE) results for a relaxed LiHPdPt2 crystal.

* E_tot: -4.800 eV per atom
* SG: P4/mmm
* DOS at the Fermi energy: 4.28 states/eV/f.u.

The structure in POSCAR format:
```
LiHPdPt2
1.0
3.909 0.000 0.000
0.000 3.909 0.000
0.000 0.000 4.012
Li H Pd Pt
1 1 1 2
Cartesian
0.000 0.000 0.000
0.000 0.000 2.006
1.955 1.955 0.000
0.000 1.955 2.006
1.955 0.000 2.006
```



2.
DFT (GGA-PBE) results for a relaxed Pm4CdAg2Au crystal.

* SG: R-3m
* calculated formation energy: -321 kJ/mol of formula units
* DOS at the Fermi energy: 7.06 states/eV/f.u.

The structure in POSCAR format:
```
Pm4CdAg2Au
1.0
2.646 1.527 8.649
-2.646 1.527 8.649
0.000 -3.055 8.649
Pm Cd Ag Au
4 1 2 1
Cartesian
0.000 0.000 3.125
0.000 0.000 9.625
0.000 0.000 16.321
0.000 0.000 22.821
0.000 0.000 12.973
0.000 0.000 6.311
0.000 0.000 19.635
0.000 0.000 0.000
```



3.
DFT (GGA-PBE) results for a relaxed CeY2ErP4 crystal.

* SG: P2/m
* calculated formation energy: -1231 kJ/mol of formula units
* DOS at the Fermi energy: 5.31 states/eV/f.u.

The structure in POSCAR format:
```
CeY2ErP4
1.0
6.953 0.000 0.000
0.000 4.021 0.000
-2.312 0.000 6.561
Ce Y Er P
1 2 1 4
Cartesian
0.000 0.000 0.000
-1.156 2.010 3.281
2.320 0.000 3.281
3.476 2.010 0.000
0.013 0.000 4.936
1.176 2.010 1.641
4.628 0.000 1.626
3.465 2.010 4.920
```



4.
DFT (GGA-PBE) results for a relaxed YLuNiAg crystal.

* SG: F-43m
* calculated formation energy: -129 kJ/mol of formula units
* DOS at the Fermi energy: 3.59 states/eV/f.u.

The structure in POSCAR format:
```
YLuNiAg
1.0
0.000 3.484 3.484
3.484 0.000 3.484
3.484 3.484 0.000
Y Lu Ni Ag
1 1 1 1
Cartesian
0.000 0.000 0.000
3.484 3.484 3.484
1.742 1.742 1.742
5.226 5.226 5.226
```



5.
DFT (GGA-PBE) results for a relaxed TlCo2Pt crystal.

* SG: P4mm
* calculated formation energy: 99 kJ/mol of formula units
* DOS at the Fermi energy: 4.63 states/eV/f.u.

The structure in POSCAR format:
```
TlCo2Pt
1.0
2.931 0.000 0.000
0.000 2.931 0.000
0.000 0.000 7.124
Tl Co Pt
1 2 1
Cartesian
0.000 0.000 0.000
0.000 0.000 3.258
1.466 1.466 2.011
1.466 1.466 4.923
```



6.
DFT (GGA-PBE) results for a relaxed ZrSb2Pt crystal.

* SG: P2/m
* DOS at the Fermi energy: 2.64 states/eV/f.u.
* formation energy (no corrections): -0.308 eV per atom

The structure in POSCAR format:
```
ZrSb2Pt
1.0
3.730 0.000 0.000
0.000 3.837 0.000
-1.376 0.000 6.223
Zr Sb Pt
1 2 1
Cartesian
0.000 0.000 0.000
0.422 1.919 4.671
1.932 1.919 1.552
-0.688 0.000 3.112
```